# 1
A plane-wave DFT calculation with PBE was carried out for Pu2MnIn after structural relaxation.

abc: 4.2077 4.2077 5.0337
angles: 90.00 90.00 90.00
Closest atoms and distances in Å follow each position.
Sites, in units of the cell vectors:
Pu: 0.0000 0.5000 0.0000  4 Pu 2.98, 4 In 3.28, 4 Mn 3.28
Pu: 0.5000 0.0000 0.0000  4 Pu 2.98, 4 In 3.28, 4 Mn 3.28
Mn: 0.0000 0.0000 0.5000  4 In 2.98, 8 Pu 3.28
In: 0.5000 0.5000 0.5000  4 Mn 2.98, 8 Pu 3.28

Values from the calculation:
* total magnetization: 3.64 μB/atom
* ΔE to the lowest computed polymorph: 0.263 eV/atom
* ΔE_f: 0.77 eV/f.u.

---

# 2
A plane-wave DFT calculation with PBE was carried out for LaSc2Ir after structural relaxation.

abc: 3.3216 4.5669 6.1641
angles: 90.00 105.17 90.00
Closest atoms and distances in Å follow each position.
Sites, in units of the cell vectors:
La: 0.0000 0.0000 0.0000  2 Ir 3.08, 8 Sc 3.26-3.36, 2 La 3.32
Sc: 0.3894 0.5000 0.7104  2 Ir 2.77, 1 Sc 2.87
Sc: 0.6106 0.5000 0.2896  2 Ir 2.77, 1 Sc 2.87
Ir: 0.0000 0.0000 0.5000  4 Sc 2.77, 2 La 3.08

Values from the calculation:
* total magnetization: 0.00 μB/atom
* ΔE to the lowest computed polymorph: 0.227 eV/atom
* ΔE_f: -1.06 eV/f.u.

---

# 3
A plane-wave DFT calculation with PBE was carried out for Li5MgTl8 after structural relaxation.

abc: 7.5723 7.5723 7.5723
angles: 111.20 111.20 106.06
Closest atoms and distances in Å follow each position.
Sites, in units of the cell vectors:
Li: 0.0000 0.0000 0.0000  8 Tl 2.92
Li: 0.2932 0.6325 0.0986  8 Tl 2.96-3.23
Li: 0.3675 0.4661 0.6607  8 Tl 2.96-3.23
Li: 0.5339 0.1946 0.9014  8 Tl 2.96-3.23
Li: 0.8054 0.7068 0.3393  8 Tl 2.96-3.23
Mg: 0.7500 0.2500 0.5000  4 Tl 2.95
Tl: 0.0083 0.4015 0.2563  5 Li 2.92-3.23, 2 Tl 3.22-3.25
Tl: 0.0971 0.1743 0.7403  5 Li 2.92-3.11, 1 Mg 2.95, 1 Tl 3.25
Tl: 0.1451 0.7520 0.7437  5 Li 2.92-3.23, 2 Tl 3.22-3.25
Tl: 0.2480 0.9917 0.3931  5 Li 2.92-3.23, 2 Tl 3.22-3.25
Tl: 0.4340 0.3568 0.2597  5 Li 2.92-3.11, 1 Mg 2.95, 1 Tl 3.25
Tl: 0.5985 0.8549 0.6069  5 Li 2.92-3.23, 2 Tl 3.22-3.25
Tl: 0.6432 0.9029 0.0772  5 Li 2.92-3.11, 1 Mg 2.95, 1 Tl 3.25
Tl: 0.8257 0.5660 0.9228  5 Li 2.92-3.11, 1 Mg 2.95, 1 Tl 3.25

Values from the calculation:
* total magnetization: 0.00 μB/atom
* ΔE_f: -1.54 eV/f.u.

---

# 4
A plane-wave DFT calculation with PBE was carried out for Ac2NiBr after structural relaxation.

abc: 8.5976 8.5976 8.5976
angles: 29.15 29.15 29.15
Closest atoms and distances in Å follow each position.
Sites, in units of the cell vectors:
Ac: 0.2306 0.2306 0.2306  3 Ni 2.95
Ac: 0.7694 0.7694 0.7694  3 Ni 2.95
Ni: 0.5000 0.5000 0.5000  6 Ac 2.95
Br: 0.0000 0.0000 0.0000  6 Ac 3.56

Values from the calculation:
* total magnetization: 0.00 μB/atom
* ΔE to the lowest computed polymorph: 0.000 eV/atom
* formation energy (no corrections): -0.845 eV/atom

---

# 5
A plane-wave DFT calculation with PBE was carried out for ZrAlSi2 after structural relaxation.

abc: 4.1308 4.1308 3.8273
angles: 90.00 90.00 90.00
Closest atoms and distances in Å follow each position.
Sites, in units of the cell vectors:
Zr: 0.0000 0.0000 0.0000  8 Si 2.82, 4 Al 2.92
Al: 0.5000 0.5000 0.0000  8 Si 2.82, 4 Zr 2.92
Si: 0.0000 0.5000 0.5000  4 Zr 2.82, 4 Al 2.82, 4 Si 2.92
Si: 0.5000 0.0000 0.5000  4 Zr 2.82, 4 Al 2.82, 4 Si 2.92

Values from the calculation:
* total magnetization: 0.00 μB/atom
* formation energy (no corrections): -0.262 eV/atom

---

# 6
A plane-wave DFT calculation with PBE was carried out for TcPdSe3 after structural relaxation.

abc: 4.0884 5.0386 5.0386
angles: 104.62 90.00 90.00
Closest atoms and distances in Å follow each position.
Sites, in units of the cell vectors:
Tc: 0.0000 0.0000 0.0000  6 Se 2.42-2.69
Pd: 0.5000 0.6299 0.6299  5 Se 2.55-2.59
Se: 0.0000 0.4783 0.8559  2 Tc 2.54-2.69, 2 Pd 2.55
Se: 0.0000 0.8559 0.4783  2 Tc 2.54-2.69, 2 Pd 2.55
Se: 0.5000 0.2097 0.2097  2 Tc 2.42, 1 Pd 2.59

Values from the calculation:
* total magnetization: 0.00 μB/atom
* ΔE to the lowest computed polymorph: 0.000 eV/atom
* formation energy (no corrections): -0.138 eV/atom

---

# 7
A plane-wave DFT calculation with PBE was carried out for Ti6CS2 after structural relaxation.

abc: 5.2815 5.2815 7.7216
angles: 90.89 90.89 35.61
Closest atoms and distances in Å follow each position.
Sites, in units of the cell vectors:
Ti: 0.0545 0.0545 0.2377  1 C 2.11
Ti: 0.3560 0.3560 0.0589  3 S 2.46-2.57
Ti: 0.3653 0.3653 0.4491  2 C 2.14
Ti: 0.6347 0.6347 0.5509  2 C 2.14
Ti: 0.6440 0.6440 0.9411  3 S 2.46-2.57
Ti: 0.9455 0.9455 0.7623  1 C 2.11
C: 0.0000 0.0000 0.5000  6 Ti 2.11-2.14
S: 0.2546 0.2546 0.7514  8 Ti 2.46-2.60
S: 0.7454 0.7454 0.2486  8 Ti 2.46-2.60

Values from the calculation:
* total magnetization: 0.00 μB/atom
* formation energy (no corrections): -0.939 eV/atom

---

# 8
A plane-wave DFT calculation with PBE was carried out for Nd2Y9Ho after structural relaxation.

abc: 5.0725 5.0725 15.2145
angles: 90.00 90.00 90.00
Closest atoms and distances in Å follow each position.
Sites, in units of the cell vectors:
Nd: 0.0000 0.0000 0.1673  12 Y 3.59-3.60
Nd: 0.0000 0.0000 0.8327  12 Y 3.59-3.60
Y: 0.0000 0.5000 0.0000  8 Y 3.59-3.60, 4 Nd 3.59
Y: 0.0000 0.5000 0.3356  8 Y 3.56-3.59, 2 Ho 3.56, 2 Nd 3.60
Y: 0.0000 0.5000 0.6644  8 Y 3.56-3.59, 2 Ho 3.56, 2 Nd 3.60
Y: 0.5000 0.0000 0.0000  8 Y 3.59-3.60, 4 Nd 3.59
Y: 0.5000 0.0000 0.3356  8 Y 3.56-3.59, 2 Ho 3.56, 2 Nd 3.60
Y: 0.5000 0.0000 0.6644  8 Y 3.56-3.59, 2 Ho 3.56, 2 Nd 3.60
Y: 0.5000 0.5000 0.1682  4 Nd 3.59, 8 Y 3.59-3.60
Y: 0.5000 0.5000 0.5000  8 Y 3.56, 4 Ho 3.59
Y: 0.5000 0.5000 0.8318  4 Nd 3.59, 8 Y 3.59-3.60
Ho: 0.0000 0.0000 0.5000  12 Y 3.56-3.59

Values from the calculation:
* total magnetization: 0.00 μB/atom
* ΔE_f: 0.29 eV/f.u.

---

# 9
A plane-wave DFT calculation with PBE was carried out for Cs4SmAg3Br12 after structural relaxation.

abc: 9.7403 9.7403 9.7403
angles: 109.47 109.47 109.47
Closest atoms and distances in Å follow each position.
Sites, in units of the cell vectors:
Cs: 0.0000 0.0000 0.5000  12 Br 3.98
Cs: 0.0000 0.5000 0.0000  12 Br 3.98
Cs: 0.5000 0.0000 0.0000  12 Br 3.98
Cs: 0.5000 0.5000 0.5000  12 Br 3.98
Sm: 0.0000 0.0000 0.0000  6 Br 2.82
Ag: 0.0000 0.5000 0.5000  6 Br 2.80-2.81
Ag: 0.5000 0.0000 0.5000  6 Br 2.80-2.81
Ag: 0.5000 0.5000 0.0000  6 Br 2.80-2.81
Br: 0.0000 0.2507 0.2507  1 Ag 2.80, 1 Sm 2.82
Br: 0.0000 0.7493 0.7493  1 Ag 2.80, 1 Sm 2.82
Br: 0.2500 0.5000 0.7500  2 Ag 2.81
Br: 0.2500 0.7500 0.5000  2 Ag 2.81
Br: 0.2507 0.0000 0.2507  1 Ag 2.80, 1 Sm 2.82
Br: 0.2507 0.2507 0.0000  1 Ag 2.80, 1 Sm 2.82
Br: 0.5000 0.2500 0.7500  2 Ag 2.81
Br: 0.5000 0.7500 0.2500  2 Ag 2.81
Br: 0.7493 0.0000 0.7493  1 Ag 2.80, 1 Sm 2.82
Br: 0.7493 0.7493 0.0000  1 Ag 2.80, 1 Sm 2.82
Br: 0.7500 0.2500 0.5000  2 Ag 2.81
Br: 0.7500 0.5000 0.2500  2 Ag 2.81

Values from the calculation:
* total magnetization: 0.00 μB/atom
* formation energy (no corrections): -1.216 eV/atom

---

# 10
A plane-wave DFT calculation with PBE was carried out for LiTlIn6 after structural relaxation.

abc: 4.6537 4.6537 9.6275
angles: 90.00 90.00 90.00
Closest atoms and distances in Å follow each position.
Sites, in units of the cell vectors:
Li: 0.0000 0.0000 0.0000  12 In 3.21-3.29
Tl: 0.0000 0.0000 0.5000  12 In 3.29-3.49
In: 0.0000 0.5000 0.2302  8 In 3.21-3.49, 2 Li 3.21, 2 Tl 3.49
In: 0.0000 0.5000 0.7698  8 In 3.21-3.49, 2 Li 3.21, 2 Tl 3.49
In: 0.5000 0.0000 0.2302  8 In 3.21-3.49, 2 Li 3.21, 2 Tl 3.49
In: 0.5000 0.0000 0.7698  8 In 3.21-3.49, 2 Li 3.21, 2 Tl 3.49
In: 0.5000 0.5000 0.0000  8 In 3.21, 4 Li 3.29
In: 0.5000 0.5000 0.5000  4 Tl 3.29, 8 In 3.49

Values from the calculation:
* total magnetization: 0.00 μB/atom
* ΔE_f: -0.38 eV/f.u.

---

# 11
A plane-wave DFT calculation with PBE was carried out for YThUO6 after structural relaxation.

abc: 5.8179 5.8179 9.7254
angles: 90.00 90.00 120.00
Closest atoms and distances in Å follow each position.
Sites, in units of the cell vectors:
Y: 0.3333 0.6667 0.2500  6 O 2.29
Y: 0.6667 0.3333 0.7500  6 O 2.29
Th: 0.0000 0.0000 0.0000  6 O 2.37
Th: 0.0000 0.0000 0.5000  6 O 2.37
U: 0.3333 0.6667 0.7500  6 O 2.17
U: 0.6667 0.3333 0.2500  6 O 2.17
O: 0.0164 0.3482 0.6337  1 U 2.17, 1 Y 2.29, 1 Th 2.37
O: 0.0164 0.6683 0.8663  1 U 2.17, 1 Y 2.29, 1 Th 2.37
O: 0.3317 0.3482 0.8663  1 U 2.17, 1 Y 2.29, 1 Th 2.37
O: 0.3317 0.9836 0.6337  1 U 2.17, 1 Y 2.29, 1 Th 2.37
O: 0.3482 0.0164 0.1337  1 U 2.17, 1 Y 2.29, 1 Th 2.37
O: 0.3482 0.3317 0.3663  1 U 2.17, 1 Y 2.29, 1 Th 2.37
O: 0.6518 0.6683 0.6337  1 U 2.17, 1 Y 2.29, 1 Th 2.37
O: 0.6518 0.9836 0.8663  1 U 2.17, 1 Y 2.29, 1 Th 2.37
O: 0.6683 0.0164 0.3663  1 U 2.17, 1 Y 2.29, 1 Th 2.37
O: 0.6683 0.6518 0.1337  1 U 2.17, 1 Y 2.29, 1 Th 2.37
O: 0.9836 0.3317 0.1337  1 U 2.17, 1 Y 2.29, 1 Th 2.37
O: 0.9836 0.6518 0.3663  1 U 2.17, 1 Y 2.29, 1 Th 2.37

Values from the calculation:
* total magnetization: 0.11 μB/atom
* formation energy (no corrections): -3.456 eV/atom

---

# 12
A plane-wave DFT calculation with PBE was carried out for TaCoNi after structural relaxation.

abc: 4.6068 4.6068 4.8158
angles: 90.00 90.00 129.72
Closest atoms and distances in Å follow each position.
Sites, in units of the cell vectors:
Ta: 0.2059 0.7941 0.7500  5 Co 2.53-2.56, 2 Ni 2.73
Ta: 0.7941 0.2059 0.2500  5 Co 2.53-2.56, 2 Ni 2.73
Co: 0.1011 0.8989 0.2500  4 Ni 2.45, 5 Ta 2.53-2.56
Co: 0.8989 0.1011 0.7500  4 Ni 2.45, 5 Ta 2.53-2.56
Ni: 0.5000 0.5000 0.0000  2 Ni 2.41, 4 Co 2.45
Ni: 0.5000 0.5000 0.5000  2 Ni 2.41, 4 Co 2.45

Values from the calculation:
* total magnetization: 0.00 μB/atom
* ΔE to the lowest computed polymorph: 0.000 eV/atom
* ΔE_f: -0.81 eV/f.u.